{
  "formula": "LiRhSN2",
  "functional": "GGA-PBE",
  "state": "relaxed",
  "cell": [[3.765, 0.000, 0.000], [0.000, 3.765, 0.000], [0.000, 0.000, 5.268]],
  "species": ["Li", "Rh", "S", "N", "N"],
  "frac_coords": [[0.000, 0.000, 0.000], [0.500, 0.500, 0.500], [0.500, 0.500, 0.000], [0.000, 0.500, 0.500], [0.500, 0.000, 0.500]],
  "dft_energy_ev_per_atom": -5.343,
  "relative_energy_ev_per_atom": 0.000
}